(1)
Material: Li2AcThGe2
Method: DFT, GGA-PBE
State: optimized geometry

a = 4.5910 Å, b = 4.5910 Å, c = 7.7706 Å
α = 90.00°, β = 90.00°, γ = 120.00°
With the nearest neighbours (Å) after each atom.
Fractional coordinates of all 6 atoms:
Ge1 0.6667 0.3333 0.7221  3 Li 2.65
Ge2 0.3333 0.6667 0.2779  3 Li 2.65
Li1 0.3333 0.6667 0.7213  3 Ge 2.65
Li2 0.6667 0.3333 0.2787  3 Ge 2.65
Ac1 0.0000 0.0000 0.0000  6 Ge 3.42, 6 Li 3.42
Th1 0.0000 0.0000 0.5000  6 Li 3.16, 6 Ge 3.16

Summary:
Formation enthalpy at 0 K = -0.59 eV/atom
Space group = P-3m1, No. 164
E_tot = -4.68 eV/atom
V = 23.641 A^3/atom


(2)
Material: CsCuSe3
Method: DFT, GGA-PBE
State: optimized geometry

a = 5.0211 Å, b = 5.0211 Å, c = 5.0211 Å
α = 90.00°, β = 90.00°, γ = 90.00°
With the nearest neighbours (Å) after each atom.
Fractional coordinates of all 5 atoms:
Se1 0.0000 0.5000 0.0000  2 Cu 2.51
Se2 0.5000 0.0000 0.0000  2 Cu 2.51
Se3 0.0000 0.0000 0.5000  2 Cu 2.51
Cs1 0.5000 0.5000 0.5000  12 Se 3.55
Cu1 0.0000 0.0000 0.0000  6 Se 2.51

Summary:
Distance to the lowest polymorph of the same formula = 34.7 kJ per mole of atoms
ΔE_f (raw) = -0.59 eV/f.u.
Space group = Pm-3m, No. 221
E_tot = -3.20 eV/atom
V = 25.318 A^3/atom


(3)
Material: Be3Ru
Method: DFT, GGA-PBE
State: optimized geometry

a = 2.5404 Å, b = 2.5404 Å, c = 7.2684 Å
α = 90.00°, β = 90.00°, γ = 114.43°
With the nearest neighbours (Å) after each atom.
Fractional coordinates of all 4 atoms:
Be1 0.0000 0.0000 0.9959  2 Be 2.26, 2 Ru 2.30
Be2 0.5000 0.5000 0.7500  4 Be 2.26
Be3 0.0000 0.0000 0.5041  2 Be 2.26, 2 Ru 2.30
Ru1 0.5000 0.5000 0.2500  4 Be 2.30, 4 Ru 2.54

Summary:
Formation enthalpy at 0 K = 0.21 eV/atom
Space group = Cmmm, No. 65
E_tot = -4.91 eV/atom
V = 10.677 A^3/atom


Per-record DOS(E_F), states/eV/cell: 2.96, 4.60, 1.56